No. 1
A plane-wave DFT calculation with PBEsol was carried out for Li2TiV3O8 after structural relaxation.

Cell lengths 5.850, 5.850, 5.850 Å; angles 59.00, 59.00, 59.00 degrees
Sites, in units of the cell vectors:
Li: 0.126 0.126 0.126
Li: 0.874 0.874 0.874
Ti: 0.500 0.500 0.500
V: 0.000 0.500 0.500
V: 0.500 0.000 0.500
V: 0.500 0.500 0.000
O: 0.260 0.260 0.719
O: 0.260 0.719 0.260
O: 0.261 0.261 0.261
O: 0.281 0.740 0.740
O: 0.719 0.260 0.260
O: 0.739 0.739 0.739
O: 0.740 0.281 0.740
O: 0.740 0.740 0.281

Values from the calculation:
- V: 138.3 Å³ per cell
- Crystal system: trigonal
- Energy above the most stable polymorph in this dataset: 4.6 meV per atom

No. 2
A plane-wave DFT calculation with PBEsol was carried out for Rb2RhF6 after structural relaxation.

Cell lengths 5.875, 5.875, 4.779 Å; angles 90.00, 90.00, 120.00 degrees
Sites, in units of the cell vectors:
Rb: 0.333 0.667 0.212
Rb: 0.667 0.333 0.788
Rh: 0.000 0.000 0.500
F: 0.157 0.315 0.722
F: 0.157 0.843 0.722
F: 0.315 0.157 0.278
F: 0.685 0.843 0.722
F: 0.843 0.157 0.278
F: 0.843 0.685 0.278

Values from the calculation:
- V: 142.8 Å³ per cell
- Crystal system: trigonal
- VASP energy: -41.9 eV for the cell shown

No. 3
A plane-wave DFT calculation with PBEsol was carried out for KIrW2 after structural relaxation.

Cell lengths 2.727, 3.735, 8.330 Å; angles 90.00, 90.00, 90.00 degrees
Sites, in units of the cell vectors:
K: 0.000 0.000 0.000
Ir: 0.500 0.500 0.686
W: 0.000 0.000 0.542
W: 0.500 0.500 0.357

Values from the calculation:
- Energy of formation: 0.81 eV per atom
- V: 84.9 Å³ per cell
- Crystal system: orthorhombic
- Energy above the most stable polymorph in this dataset: 0.0 meV per atom

No. 4
A plane-wave DFT calculation with PBEsol was carried out for LiZn2Sb after structural relaxation.

Cell lengths 3.007, 3.007, 8.422 Å; angles 90.00, 90.00, 99.97 degrees
Sites, in units of the cell vectors:
Li: 0.000 0.000 0.000
Zn: 0.500 0.500 0.222
Zn: 0.500 0.500 0.778
Sb: 0.000 0.000 0.500

Values from the calculation:
- V: 75.0 Å³ per cell
- Crystal system: orthorhombic
- VASP energy: -9.4 eV for the cell shown

No. 5
A plane-wave DFT calculation with PBEsol was carried out for Al2GeRuAu after structural relaxation.

Cell lengths 4.673, 4.673, 4.592 Å; angles 90.00, 90.00, 90.00 degrees
Sites, in units of the cell vectors:
Al: 0.000 0.500 0.000
Al: 0.500 0.000 0.000
Ge: 0.000 0.000 0.500
Ru: 0.000 0.000 0.000
Au: 0.500 0.500 0.500

Values from the calculation:
- Energy of formation: 0.12 eV per atom
- V: 100.3 Å³ per cell
- Crystal system: tetragonal

No. 6
A plane-wave DFT calculation with PBEsol was carried out for HfReNi2Ru after structural relaxation.

Cell lengths 4.331, 4.331, 4.917 Å; angles 90.00, 90.00, 90.00 degrees
Sites, in units of the cell vectors:
Hf: 0.000 0.000 0.000
Re: 0.000 0.000 0.500
Ni: 0.000 0.500 0.500
Ni: 0.500 0.000 0.500
Ru: 0.500 0.500 0.000

Values from the calculation:
- Energy of formation: 1.56 eV per atom
- V: 92.2 Å³ per cell
- Crystal system: tetragonal

No. 7
A plane-wave DFT calculation with PBEsol was carried out for MnRu5 after structural relaxation.

Cell lengths 4.609, 4.609, 4.181 Å; angles 90.00, 90.00, 120.00 degrees
Sites, in units of the cell vectors:
Mn: 0.000 0.000 0.000
Ru: 0.000 0.673 0.500
Ru: 0.327 0.327 0.500
Ru: 0.333 0.667 0.000
Ru: 0.667 0.333 0.000
Ru: 0.673 0.000 0.500

Values from the calculation:
- Energy of formation: 0.01 eV per atom
- V: 76.9 Å³ per cell
- Crystal system: hexagonal

No. 8
A plane-wave DFT calculation with PBEsol was carried out for K2OsRu after structural relaxation.

Cell lengths 11.487, 11.487, 11.487 Å; angles 13.71, 13.71, 13.71 degrees
Sites, in units of the cell vectors:
K: 0.250 0.250 0.250
K: 0.750 0.750 0.750
Os: 0.500 0.500 0.500
Ru: 0.000 0.000 0.000

Values from the calculation:
- Energy of formation: 1.32 eV per atom
- V: 74.1 Å³ per cell
- Crystal system: trigonal
- Energy above the most stable polymorph in this dataset: 566.7 meV per atom

No. 9
A plane-wave DFT calculation with PBEsol was carried out for AlCoCu2 after structural relaxation.

Cell lengths 4.013, 4.013, 4.013 Å; angles 60.00, 60.00, 60.00 degrees
Sites, in units of the cell vectors:
Al: 0.000 0.000 0.000
Co: 0.250 0.250 0.250
Cu: 0.500 0.500 0.500
Cu: 0.750 0.750 0.750

Values from the calculation:
- Energy of formation: -0.16 eV per atom
- V: 45.7 Å³ per cell
- Crystal system: cubic

No. 10
A plane-wave DFT calculation with PBEsol was carried out for Mn2Se after structural relaxation.

Cell lengths 3.881, 3.881, 2.758 Å; angles 90.00, 90.00, 120.00 degrees
Sites, in units of the cell vectors:
Mn: 0.333 0.667 0.246
Mn: 0.667 0.333 0.754
Se: 0.000 0.000 0.000

Values from the calculation:
- V: 36.0 Å³ per cell
- Crystal system: trigonal
- VASP energy: -22.5 eV for the cell shown

No. 11
A plane-wave DFT calculation with PBEsol was carried out for Tl2HgPb after structural relaxation.

Cell lengths 3.829, 3.829, 7.407 Å; angles 90.00, 90.00, 90.00 degrees
Sites, in units of the cell vectors:
Tl: 0.000 0.000 0.231
Tl: 0.000 0.000 0.769
Hg: 0.500 0.500 0.000
Pb: 0.500 0.500 0.500

Values from the calculation:
- Energy of formation: 0.01 eV per atom
- V: 108.6 Å³ per cell
- Crystal system: tetragonal

No. 12
A plane-wave DFT calculation with PBEsol was carried out for IrRh5 after structural relaxation.

Cell lengths 2.679, 2.679, 11.344 Å; angles 90.00, 90.00, 90.00 degrees
Sites, in units of the cell vectors:
Ir: 0.000 0.000 0.000
Rh: 0.000 0.000 0.335
Rh: 0.000 0.000 0.665
Rh: 0.500 0.500 0.167
Rh: 0.500 0.500 0.500
Rh: 0.500 0.500 0.833

Values from the calculation:
- Energy of formation: -0.01 eV per atom
- V: 81.4 Å³ per cell
- Crystal system: tetragonal
- Energy above the most stable polymorph in this dataset: 0.0 meV per atom

No. 13
A plane-wave DFT calculation with PBEsol was carried out for YScMo2 after structural relaxation.

Cell lengths 4.744, 4.744, 4.744 Å; angles 60.00, 60.00, 60.00 degrees
Sites, in units of the cell vectors:
Y: 0.000 0.000 0.000
Sc: 0.500 0.500 0.500
Mo: 0.250 0.250 0.250
Mo: 0.750 0.750 0.750

Values from the calculation:
- Energy of formation: 0.56 eV per atom
- V: 75.5 Å³ per cell
- Crystal system: cubic
- Energy above the most stable polymorph in this dataset: 476.2 meV per atom

No. 14
A plane-wave DFT calculation with PBEsol was carried out for TlTe2Ir after structural relaxation.

Cell lengths 4.996, 4.996, 4.996 Å; angles 110.27, 110.27, 107.88 degrees
Sites, in units of the cell vectors:
Tl: 0.000 0.000 0.000
Te: 0.000 0.500 0.500
Te: 0.500 0.000 0.500
Ir: 0.500 0.500 0.000

Values from the calculation:
- V: 95.9 Å³ per cell
- Crystal system: tetragonal
- Energy above the most stable polymorph in this dataset: 612.4 meV per atom

No. 15
A plane-wave DFT calculation with PBEsol was carried out for ErZnNi after structural relaxation.

Cell lengths 6.835, 6.835, 3.691 Å; angles 90.00, 90.00, 120.00 degrees
Sites, in units of the cell vectors:
Er: 0.000 0.592 0.000
Er: 0.408 0.408 0.000
Er: 0.592 0.000 0.000
Zn: 0.000 0.244 0.500
Zn: 0.244 0.000 0.500
Zn: 0.756 0.756 0.500
Ni: 0.000 0.000 0.000
Ni: 0.333 0.667 0.500
Ni: 0.667 0.333 0.500

Values from the calculation:
- Energy of formation: -0.48 eV per atom
- V: 149.3 Å³ per cell
- Crystal system: hexagonal

No. 16
A plane-wave DFT calculation with PBEsol was carried out for AlFe2B after structural relaxation.

Cell lengths 3.763, 3.763, 3.763 Å; angles 60.00, 60.00, 60.00 degrees
Sites, in units of the cell vectors:
Al: 0.000 0.000 0.000
Fe: 0.250 0.250 0.250
Fe: 0.750 0.750 0.750
B: 0.500 0.500 0.500

Values from the calculation:
- Energy of formation: -0.02 eV per atom
- V: 37.7 Å³ per cell
- Crystal system: cubic

No. 17
A plane-wave DFT calculation with PBEsol was carried out for LiSbAu2 after structural relaxation.

Cell lengths 3.031, 4.620, 5.602 Å; angles 90.00, 90.00, 90.00 degrees
Sites, in units of the cell vectors:
Li: 0.000 0.000 0.000
Sb: 0.500 0.500 0.682
Au: 0.500 0.000 0.430
Au: 0.500 0.500 0.159

Values from the calculation:
- V: 78.4 Å³ per cell
- Crystal system: orthorhombic
- VASP energy: -15.4 eV for the cell shown

No. 18
A plane-wave DFT calculation with PBEsol was carried out for Ti2Ni2Sb after structural relaxation.

Cell lengths 6.611, 6.611, 3.339 Å; angles 90.00, 90.00, 90.00 degrees
Sites, in units of the cell vectors:
Ti: 0.165 0.335 0.000
Ti: 0.335 0.835 0.000
Ti: 0.665 0.165 0.000
Ti: 0.835 0.665 0.000
Ni: 0.126 0.626 0.500
Ni: 0.374 0.126 0.500
Ni: 0.626 0.874 0.500
Ni: 0.874 0.374 0.500
Sb: 0.000 0.000 0.500
Sb: 0.500 0.500 0.500

Values from the calculation:
- V: 145.9 Å³ per cell
- Crystal system: tetragonal
- VASP energy: -71.7 eV for the cell shown

No. 19
A plane-wave DFT calculation with PBEsol was carried out for TaCuSb after structural relaxation.

Cell lengths 5.320, 5.320, 5.320 Å; angles 144.24, 144.24, 51.46 degrees
Sites, in units of the cell vectors:
Ta: 0.000 0.000 0.000
Cu: 0.651 0.651 0.000
Sb: 0.308 0.308 0.000

Values from the calculation:
- V: 51.1 Å³ per cell
- Crystal system: tetragonal
- VASP energy: -20.7 eV for the cell shown

No. 20
A plane-wave DFT calculation with PBEsol was carried out for MoSeIO2 after structural relaxation.

Cell lengths 3.871, 3.871, 5.835 Å; angles 90.00, 90.00, 90.00 degrees
Sites, in units of the cell vectors:
Mo: 0.000 0.000 0.000
Se: 0.500 0.500 0.500
I: 0.000 0.000 0.500
O: 0.000 0.500 0.000
O: 0.500 0.000 0.000

Values from the calculation:
- V: 87.4 Å³ per cell
- Crystal system: tetragonal
- VASP energy: -31.4 eV for the cell shown